First-principles (PBE) data for a relaxed ZnTeO3 crystal, as listed in OQMD via LeMat-Bulk.

Cell and atoms, written as extended XYZ:
```
40
Lattice="7.227 0.000 0.000 0.000 6.322 0.000 0.000 0.000 12.326" Properties=species:S:1:pos:R:3 pbc="T T T"
O 0.343 2.210 0.842
O 3.889 4.424 3.394
O 3.270 4.112 7.005
Zn 0.788 2.371 11.213
O 3.889 5.059 9.557
O 6.116 3.360 7.228
Te 4.110 2.592 10.533
Zn 4.401 2.371 7.276
O 6.884 5.371 5.321
O 6.952 1.898 9.557
Te 4.110 0.569 4.370
Zn 2.826 3.951 5.050
O 4.724 0.199 7.228
O 0.343 0.951 7.005
Zn 6.439 5.532 7.276
O 6.116 6.123 1.065
O 3.338 1.898 8.932
O 1.111 2.962 5.098
O 2.503 3.360 11.261
Te 0.496 0.569 1.793
Zn 2.826 5.532 11.213
O 0.275 5.059 8.932
O 3.270 5.371 0.842
Te 6.731 5.753 10.533
O 1.111 0.199 11.261
O 3.956 0.951 11.484
Te 0.496 2.592 7.956
O 3.956 2.210 5.321
Te 6.731 3.730 4.370
Te 3.117 3.730 1.793
O 2.503 6.123 5.098
Zn 6.439 3.951 1.113
O 0.275 4.424 2.769
Te 3.117 5.753 7.956
O 6.884 4.112 11.484
Zn 0.788 0.790 5.050
O 6.952 1.263 3.394
Zn 4.401 0.790 1.113
O 4.724 2.962 1.065
O 3.338 1.263 2.769
```

Calculated values
**Space group**: No. 61
**Total DFT energy (no corrections)**: -0.186 hartree per atom
**Crystal system**: orthorhombic